Computed, not measured: a geometry-optimized NaMnWF6 structure at the GGA+U level of DFT.

Cell lengths 5.601, 5.601, 9.633 Å; angles 90.00, 90.00, 120.00 degrees
Each line ends with the local moment (μB).
Positions (direct):
Mn: 0.333 0.667 0.250  0.97
F: 0.348 0.352 0.361  0.02
F: 0.348 0.996 0.139  0.02
F: 0.652 0.004 0.861  0.02
W: 0.667 0.333 0.250  2.80
F: 0.996 0.648 0.861  0.02
Na: 0.000 0.000 0.500  0.00
Mn: 0.667 0.333 0.750  0.97
F: 0.652 0.648 0.639  0.02
F: 0.004 0.352 0.139  0.02
F: 0.648 0.996 0.361  0.02
Na: 0.000 0.000 0.000  0.00
W: 0.333 0.667 0.750  2.80
F: 0.648 0.652 0.139  0.02
F: 0.352 0.348 0.861  0.02
F: 0.996 0.348 0.639  0.02
F: 0.352 0.004 0.639  0.02
F: 0.004 0.652 0.361  0.02

Calculated values
Space-group type: P-31c
Size of the total moment (μB/cell): 8.001
Electronic total energy (eV per atom): -5.36